(1)
Material: SrZn2Mo
Method: DFT, PBEsol
State: optimized geometry

Values from the calculation:
As for the polymorph energy (0 for the lowest one): 0 meV/atom. The symmetry is P4/mmm (123). For the final energy, the calculation gives -0.286 Ry per atom. The value obtained for the magnetic moment is 1.00 Bohr magnetons per cell.

Lattice parameters (Å, degrees): 3.376 3.376 6.799 90.00 90.00 90.00
Last column: magnetic moment on the atom in μB.
Sites, in units of the cell vectors:
Zn 0.000 0.000 0.183  0.01
Zn 0.000 0.000 0.817  0.01
Mo 0.500 0.500 0.000  0.82
Sr 0.500 0.500 0.500  0.03

---

(2)
Material: Sb3PF
Method: DFT, PBEsol
State: optimized geometry

Values from the calculation:
The symmetry is Pm-3m (221). The calculation puts the formation energy (no corrections) at 1.7 eV/f.u. For the final energy, the calculation gives -0.289 Ry per atom. The value obtained for the magnetic moment is 0.00 Bohr magnetons per cell.

Lattice parameters (Å, degrees): 5.122 5.122 5.122 90.00 90.00 90.00
Sites, in units of the cell vectors:
Sb 0.500 0.000 0.000
Sb 0.000 0.000 0.500
Sb 0.000 0.500 0.000
P 0.000 0.000 0.000
F 0.500 0.500 0.500

---

(3)
Material: SrCo2Ir
Method: DFT, PBEsol
State: optimized geometry

Values from the calculation:
The symmetry is P2/m (10). For the final energy, the calculation gives -0.467 Ry per atom. The value obtained for the magnetic moment is 2.45 Bohr magnetons per cell.

Lattice parameters (Å, degrees): 2.728 3.605 7.132 90.00 112.36 90.00
Last column: magnetic moment on the atom in μB.
Sites, in units of the cell vectors:
Ir 0.500 0.500 0.000  0.29
Sr 0.000 0.500 0.500  -0.06
Co 0.173 0.000 0.174  1.14
Co 0.827 0.000 0.826  1.14

---

(4)
Material: La2ZrAlB
Method: DFT, PBEsol
State: optimized geometry

Values from the calculation:
The symmetry is P4/mmm (123). For the final energy, the calculation gives -0.360 Ry per atom. The value obtained for the magnetic moment is 0.00 Bohr magnetons per cell.

Lattice parameters (Å, degrees): 5.008 5.510 5.510 90.00 90.00 90.00
Sites, in units of the cell vectors:
Zr 0.500 0.000 0.000
B 0.500 0.500 0.500
Al 0.000 0.000 0.000
La 0.000 0.500 0.000
La 0.000 0.000 0.500

---

(5)
Material: NiGeCl3
Method: DFT, PBEsol
State: optimized geometry

Values from the calculation:
The symmetry is Pm-3m (221). The calculation puts the formation energy (no corrections) at 1.1 eV/f.u. For the final energy, the calculation gives -0.236 Ry per atom. The value obtained for the magnetic moment is 0.98 Bohr magnetons per cell.

Lattice parameters (Å, degrees): 4.963 4.963 4.963 90.00 90.00 90.00
Last column: magnetic moment on the atom in μB.
Sites, in units of the cell vectors:
Ni 0.500 0.500 0.500  0.91
Cl 0.000 0.500 0.000  0.00
Cl 0.000 0.000 0.500  0.00
Cl 0.500 0.000 0.000  0.00
Ge 0.000 0.000 0.000  0.00

---

(6)
Material: TbRh
Method: DFT, PBEsol
State: optimized geometry

Values from the calculation:
The symmetry is Pm-3m (221). For the final energy, the calculation gives -0.542 Ry per atom. The value obtained for the magnetic moment is 0.00 Bohr magnetons per cell.

Lattice parameters (Å, degrees): 3.383 3.383 3.383 90.00 90.00 90.00
Sites, in units of the cell vectors:
Tb 0.000 0.000 0.000
Rh 0.500 0.500 0.500

---

Which value of magnetic moment does entry 4 give? 0.00 Bohr magnetons per cell

---

Which value of magnetic moment does entry 2 give? 0.00 Bohr magnetons per cell

---

Which value of final energy does entry 4 give? -0.360 Ry per atom